(1)
This record from Alexandria describes crystalline KZn at its relaxed geometry. The functional is PBE.

space-group type: No. 141

a = 6.301 Å, b = 6.301 Å, c = 6.301 Å
α = 131.80°, β = 131.80°, γ = 70.54°
Positions (direct):
K: 0.000 0.000 0.000
K: 0.250 0.750 0.500
Zn: 0.500 0.500 0.000
Zn: 0.750 0.250 0.500

(2)
This record from Alexandria describes crystalline KZn at its relaxed geometry. The functional is PBE.

space-group type: No. 70

a = 6.535 Å, b = 16.708 Å, c = 10.227 Å
α = 90.00°, β = 90.00°, γ = 90.00°
Positions (direct):
K: 0.000 0.000 0.671
K: 0.000 0.000 0.329
K: 0.250 0.750 0.579
K: 0.250 0.750 0.921
K: 0.000 0.500 0.171
K: 0.000 0.500 0.829
K: 0.250 0.250 0.079
K: 0.250 0.250 0.421
K: 0.500 0.000 0.171
K: 0.500 0.000 0.829
K: 0.750 0.750 0.079
K: 0.750 0.750 0.421
K: 0.500 0.500 0.671
K: 0.500 0.500 0.329
K: 0.750 0.250 0.579
K: 0.750 0.250 0.921
Zn: 0.000 0.078 0.000
Zn: 0.000 0.922 0.000
Zn: 0.250 0.672 0.250
Zn: 0.250 0.828 0.250
Zn: 0.000 0.578 0.500
Zn: 0.000 0.422 0.500
Zn: 0.250 0.172 0.750
Zn: 0.250 0.328 0.750
Zn: 0.500 0.078 0.500
Zn: 0.500 0.922 0.500
Zn: 0.750 0.672 0.750
Zn: 0.750 0.828 0.750
Zn: 0.500 0.578 0.000
Zn: 0.500 0.422 0.000
Zn: 0.750 0.172 0.250
Zn: 0.750 0.328 0.250

(3)
This record from Alexandria describes crystalline KZn5 at its relaxed geometry. The functional is PBE.

excess energy over the best structure of this formula in the dataset: 34 meV/atom
space-group type: No. 8

a = 6.355 Å, b = 6.355 Å, c = 6.772 Å
α = 91.82°, β = 91.82°, γ = 25.76°
Positions (direct):
K: 0.932 0.932 0.972
Zn: 0.338 0.338 0.466
Zn: 0.683 0.683 0.665
Zn: 0.674 0.674 0.280
Zn: 0.020 0.020 0.477
Zn: 0.187 0.187 0.974

(4)
This record from Alexandria describes crystalline KZn2 at its relaxed geometry. The functional is PBE.

space-group type: No. 63

a = 6.733 Å, b = 6.733 Å, c = 4.610 Å
α = 90.00°, β = 90.00°, γ = 134.45°
Positions (direct):
K: 0.237 0.237 0.250
K: 0.763 0.763 0.750
Zn: 0.403 0.857 0.250
Zn: 0.597 0.143 0.750
Zn: 0.857 0.403 0.250
Zn: 0.143 0.597 0.750

(5)
This record from Alexandria describes crystalline K6Zn7 at its relaxed geometry. The functional is PBE.

space-group type: No. 166

a = 14.762 Å, b = 14.762 Å, c = 14.762 Å
α = 23.13°, β = 23.13°, γ = 23.13°
Positions (direct):
Zn: 0.875 0.397 0.397
Zn: 0.397 0.397 0.875
Zn: 0.397 0.875 0.397
Zn: 0.125 0.603 0.603
Zn: 0.603 0.125 0.603
Zn: 0.603 0.603 0.125
Zn: 0.500 0.500 0.500
K: 0.934 0.934 0.934
K: 0.066 0.066 0.066
K: 0.847 0.847 0.847
K: 0.153 0.153 0.153
K: 0.698 0.698 0.698
K: 0.302 0.302 0.302

(6)
This record from Alexandria describes crystalline K3Zn5 at its relaxed geometry. The functional is PBE.

space-group type: No. 65

a = 6.925 Å, b = 6.925 Å, c = 5.559 Å
α = 90.00°, β = 90.00°, γ = 114.71°
Positions (direct):
K: 0.500 0.500 0.000
K: 0.731 0.269 0.500
K: 0.269 0.731 0.500
Zn: 0.000 0.000 0.000
Zn: 0.000 0.500 0.000
Zn: 0.500 0.000 0.000
Zn: 0.171 0.171 0.500
Zn: 0.829 0.829 0.500

Ordered total magnetic moment results: 0.000 0.000 0.000 0.000 0.000 0.000; unit μB/f.u..
Ordered DFT formation energy results: 0.228 0.178 0.061 0.036 0.116 0.262; unit eV/atom.